Entry 1:
Density functional theory data (PBE-GGA) for ZnAs2Pt after structural relaxation.

Energy relative to the elements in eV per formula unit: -0.570
Symmetry: C2/m, No. 12

Lattice parameters (Å, degrees): 3.755 3.755 6.507 107.11 107.11 60.07
Fractional positions:
Zn  0.000  0.000  0.000
As  0.243  0.243  0.724
As  0.757  0.757  0.276
Pt  0.500  0.500  0.500

Entry 2:
Density functional theory data (PBE-GGA) for Pa6GeAs5 after structural relaxation.

Energy relative to the elements in eV per formula unit: -11.571
Symmetry: C2/m, No. 12

Lattice parameters (Å, degrees): 7.105 7.105 7.105 99.59 99.59 119.99
Fractional positions:
Pa  0.083  0.417  0.750
Pa  0.250  0.250  0.250
Pa  0.417  0.083  0.750
Pa  0.583  0.917  0.250
Pa  0.750  0.750  0.750
Pa  0.917  0.583  0.250
Ge  0.000  0.000  0.500
As  0.166  0.834  0.000
As  0.333  0.667  0.500
As  0.500  0.500  0.000
As  0.667  0.333  0.500
As  0.834  0.166  0.000

Entry 3:
Density functional theory data (PBE-GGA) for Mg2ZnIr after structural relaxation.

Energy relative to the elements in eV per formula unit: 0.695
Symmetry: I-42d, No. 122

Lattice parameters (Å, degrees): 9.721 9.721 9.721 156.88 156.88 32.93
Fractional positions:
Mg  0.113  0.625  0.988
Mg  0.375  0.363  0.488
Mg  0.637  0.125  0.012
Mg  0.875  0.887  0.512
Zn  0.250  0.750  0.500
Zn  0.500  0.500  0.000
Ir  0.000  0.000  0.000
Ir  0.750  0.250  0.500

Entry 4:
Density functional theory data (PBE-GGA) for Er6Tl3Hg2 after structural relaxation.

Energy relative to the elements in eV per formula unit: -0.149
Symmetry: I4/mmm, No. 139

Lattice parameters (Å, degrees): 15.184 15.184 15.184 162.10 162.10 25.42
Fractional positions:
Er  0.069  0.569  0.500
Er  0.228  0.228  0.000
Er  0.431  0.931  0.500
Er  0.569  0.069  0.500
Er  0.772  0.772  0.000
Er  0.931  0.431  0.500
Tl  0.336  0.336  0.000
Tl  0.500  0.500  0.000
Tl  0.664  0.664  0.000
Hg  0.130  0.130  0.000
Hg  0.870  0.870  0.000

Entry 5:
Density functional theory data (PBE-GGA) for Bi after structural relaxation.

Energy relative to the elements in eV per formula unit: 0.190
Offset from the most stable computed form in eV/f.u.: 0.19
Symmetry: Fm-3m, No. 225

Lattice parameters (Å, degrees): 3.556 3.556 3.556 60.00 60.00 60.00
Fractional positions:
Bi  0.000  0.000  0.000

Entry 6:
Density functional theory data (PBE-GGA) for Pm2SmEr after structural relaxation.

Energy relative to the elements in eV per formula unit: 0.532
Offset from the most stable computed form in eV/f.u.: 0.47
Symmetry: Fm-3m, No. 225

Lattice parameters (Å, degrees): 5.743 5.743 5.743 60.00 60.00 60.00
Fractional positions:
Pm  0.250  0.250  0.250
Pm  0.750  0.750  0.750
Sm  0.000  0.000  0.000
Er  0.500  0.500  0.500

Density of states at the Fermi level values (in states/eV/cell) by entry order: 1.086; 12.665; 3.981; 10.144; 0.859; 9.251.